The following is a DFT calculation (GGA-PBE) of crystalline Nd5SbTe4 at its relaxed geometry.

CIF file:
```
data_Nd5SbTe4
_chemical_formula_sum 'Nd10 Sb2 Te8'
_symmetry_space_group_name_H-M 'I 4/m'
_symmetry_Int_Tables_number 87
_symmetry_space_group_name_Hall '-I 4'
_cell_length_a 10.078
_cell_length_b 10.078
_cell_length_c 6.368
_cell_angle_alpha 90.00
_cell_angle_beta 90.00
_cell_angle_gamma 90.00
loop_
_atom_site_label
_atom_site_fract_x
_atom_site_fract_y
_atom_site_fract_z
_atom_site_occupancy
Nd1 0.000 0.000 0.000 1
Nd2 0.099 0.706 0.500 1
Sb1 0.000 0.000 0.500 1
Te1 0.098 0.698 0.000 1
```

Properties
V: 32.342 A^3/atom
electronic total energy: -5.45 eV per atom
DOS(E_F): 0.504 states/eV/atom
crystal system: tetragonal

=====

The following is a DFT calculation (GGA-PBE) of crystalline NaCuH3 at its relaxed geometry.

CIF file:
```
data_NaCuH3
_chemical_formula_sum 'Na8 Cu8 H24'
_symmetry_space_group_name_H-M 'C 1 2/c 1'
_symmetry_Int_Tables_number 15
_cell_length_a 7.665
_cell_length_b 10.386
_cell_length_c 6.485
_cell_angle_alpha 90.00
_cell_angle_beta 117.30
_cell_angle_gamma 90.00
loop_
_symmetry_equiv_pos_as_xyz
'x,y,z'
'-x,-y,-z'
'-x,y,-z+1/2'
'x,-y,z+1/2'
'x+1/2,y+1/2,z'
'-x+1/2,-y+1/2,-z'
'-x+1/2,y+1/2,-z+1/2'
'x+1/2,-y+1/2,z+1/2'
loop_
_atom_site_label
_atom_site_fract_x
_atom_site_fract_y
_atom_site_fract_z
_atom_site_occupancy
Na1 0.000 0.119 0.250 1
Na2 0.000 0.224 0.750 1
Cu1 0.133 0.427 0.138 1
H1 0.084 0.421 0.585 1
H2 0.144 0.276 0.132 1
H3 0.161 0.040 0.655 1
```

Properties
V: 11.470 A^3/atom
electronic total energy: -3.09 eV per atom
DOS(E_F): 0.000 states/eV/atom
crystal system: monoclinic

=====

The following is a DFT calculation (GGA-PBE) of crystalline CsCo3Au at its relaxed geometry.

CIF file:
```
data_CsCo3Au
_chemical_formula_sum 'Cs1 Co3 Au1'
_symmetry_space_group_name_H-M 'P m -3 m'
_symmetry_Int_Tables_number 221
_symmetry_space_group_name_Hall '-P 4 2 3'
_cell_length_a 4.979
_cell_length_b 4.979
_cell_length_c 4.979
_cell_angle_alpha 90.00
_cell_angle_beta 90.00
_cell_angle_gamma 90.00
loop_
_atom_site_label
_atom_site_fract_x
_atom_site_fract_y
_atom_site_fract_z
_atom_site_occupancy
Cs1 0.000 0.000 0.000 1
Co1 0.000 0.500 0.500 1
Au1 0.500 0.500 0.500 1
```

Properties
V: 24.683 A^3/atom
electronic total energy: -3.81 eV per atom
DOS(E_F): 1.607 states/eV/atom
formation energy: 1279 meV/atom
crystal system: cubic

=====

The following is a DFT calculation (GGA-PBE) of crystalline KVS2 at its relaxed geometry.

CIF file:
```
data_KVS2
_chemical_formula_sum 'K4 V4 S8'
_symmetry_space_group_name_H-M 'C 1 2/c 1'
_symmetry_Int_Tables_number 15
_cell_length_a 7.124
_cell_length_b 11.610
_cell_length_c 5.546
_cell_angle_alpha 90.00
_cell_angle_beta 113.63
_cell_angle_gamma 90.00
loop_
_symmetry_equiv_pos_as_xyz
'x,y,z'
'-x,-y,-z'
'-x,y,-z+1/2'
'x,-y,z+1/2'
'x+1/2,y+1/2,z'
'-x+1/2,-y+1/2,-z'
'-x+1/2,y+1/2,-z+1/2'
'x+1/2,-y+1/2,z+1/2'
loop_
_atom_site_label
_atom_site_fract_x
_atom_site_fract_y
_atom_site_fract_z
_atom_site_occupancy
K1 0.000 0.147 0.250 1
V1 0.000 0.497 0.750 1
S1 0.196 0.395 0.107 1
```

Properties
V: 26.263 A^3/atom
electronic total energy: -5.70 eV per atom
DOS(E_F): 0.685 states/eV/atom
crystal system: monoclinic